# 1
{"formula": "Sr2HfZrO6", "functional": "PBE-GGA", "state": "optimized geometry", "cell": [[-3.999, -4.325, 0.244], [-5.305, 0.749, -2.459], [-1.430, -2.971, -4.887]], "species": ["O", "O", "O", "O", "O", "O", "Sr", "Sr", "Hf", "Zr"], "frac_coords": [[0.248, 0.752, 0.248], [0.752, 0.248, 0.248], [0.248, 0.248, 0.752], [0.248, 0.752, 0.752], [0.752, 0.752, 0.248], [0.752, 0.248, 0.752], [0.750, 0.750, 0.750], [0.250, 0.250, 0.250], [0.000, 0.000, 0.000], [0.500, 0.500, 0.500]], "total_energy_ev_per_atom": -8.4382, "crystal_system": "cubic", "dos_ef_per_ev_fu": 0.0, "formation_energy_uncorrected_ev_per_atom": -3.277}



# 2
{"formula": "Hf3TaO", "functional": "PBE-GGA", "state": "optimized geometry", "cell": [[5.079, 0.000, 0.000], [0.000, 5.079, 0.000], [0.000, 0.000, 5.079]], "species": ["Hf", "Hf", "Hf", "Ta", "O"], "frac_coords": [[0.500, 0.000, 0.000], [0.000, 0.000, 0.500], [0.000, 0.500, 0.000], [0.000, 0.000, 0.000], [0.500, 0.500, 0.500]], "total_energy_ev_per_atom": -7.8744, "crystal_system": "cubic", "de_polymorph_kj_per_mol_atoms": 238.6, "dos_ef_per_ev_fu": 8.4, "formation_energy_uncorrected_ev_per_atom": 1.460}



# 3
{"formula": "HfTaO3", "functional": "PBE-GGA", "state": "optimized geometry", "cell": [[-2.051, 3.354, 0.620], [-0.726, 0.278, -3.903], [-3.333, -2.125, 0.469]], "species": ["Hf", "Ta", "O", "O", "O"], "frac_coords": [[0.500, 0.500, 0.500], [0.000, 0.000, 0.000], [0.000, 0.500, 0.000], [0.000, 0.000, 0.500], [0.500, 0.000, 0.000]], "total_energy_ev_per_atom": -8.9834, "crystal_system": "cubic", "dos_ef_per_ev_fu": 4.7, "formation_energy_uncorrected_ev_per_atom": -1.647}



# 4
{"formula": "HfTaO3", "functional": "PBE-GGA", "state": "optimized geometry", "cell": [[4.050, 0.000, 0.000], [0.000, 4.050, 0.000], [0.000, 0.000, 4.050]], "species": ["O", "O", "O", "Hf", "Ta"], "frac_coords": [[0.000, 0.500, 0.000], [0.500, 0.000, 0.000], [0.000, 0.000, 0.500], [0.000, 0.000, 0.000], [0.500, 0.500, 0.500]], "total_energy_ev_per_atom": -8.8897, "crystal_system": "cubic", "dos_ef_per_ev_fu": 2.2, "formation_energy_uncorrected_ev_per_atom": -1.554}



# 5
{"formula": "HfTa2O", "functional": "PBE-GGA", "state": "optimized geometry", "cell": [[-4.933, -5.415, -0.774], [5.097, -4.172, -3.298], [0.726, -5.684, 0.086]], "species": ["Ta", "Ta", "Ta", "Ta", "O", "O", "Hf", "Hf"], "frac_coords": [[0.237, 0.625, 0.250], [0.513, 0.125, 0.250], [0.875, 0.763, 0.750], [0.375, 0.487, 0.750], [0.500, 0.500, 0.000], [0.250, 0.750, 0.500], [0.750, 0.250, 0.500], [0.000, 0.000, 0.000]], "total_energy_ev_per_atom": -10.2923, "crystal_system": "tetragonal", "dos_ef_per_ev_fu": 0.0, "formation_energy_uncorrected_ev_per_atom": -0.638}



# 6
{"formula": "HfTa3O", "functional": "PBE-GGA", "state": "optimized geometry", "cell": [[4.343, 0.000, 0.000], [0.000, 4.343, 0.000], [0.000, 0.000, 4.343]], "species": ["Hf", "Ta", "Ta", "Ta", "O"], "frac_coords": [[0.500, 0.500, 0.500], [0.500, 0.000, 0.000], [0.000, 0.000, 0.500], [0.000, 0.500, 0.000], [0.000, 0.000, 0.000]], "total_energy_ev_per_atom": -10.7229, "crystal_system": "cubic", "de_polymorph_kj_per_mol_atoms": 0.0, "dos_ef_per_ev_fu": 1.8, "formation_energy_uncorrected_ev_per_atom": -0.629}



# 7
{"formula": "HfTa3O", "functional": "PBE-GGA", "state": "optimized geometry", "cell": [[-3.466, -3.465, 0.438], [0.568, 0.050, 4.887], [-3.446, 3.494, 0.365]], "species": ["O", "Ta", "Ta", "Ta", "Hf"], "frac_coords": [[0.500, 0.500, 0.500], [0.000, 0.500, 0.000], [0.500, 0.000, 0.000], [0.000, 0.000, 0.500], [0.000, 0.000, 0.000]], "total_energy_ev_per_atom": -7.6323, "crystal_system": "cubic", "de_polymorph_kj_per_mol_atoms": 298.2, "dos_ef_per_ev_fu": 7.0, "formation_energy_uncorrected_ev_per_atom": 2.462}



# 8
{"formula": "Hf3TaO", "functional": "PBE-GGA", "state": "optimized geometry", "cell": [[4.450, 0.000, 0.000], [0.000, 4.450, 0.000], [0.000, 0.000, 4.450]], "species": ["Ta", "Hf", "Hf", "Hf", "O"], "frac_coords": [[0.500, 0.500, 0.500], [0.500, 0.000, 0.000], [0.000, 0.500, 0.000], [0.000, 0.000, 0.500], [0.000, 0.000, 0.000]], "total_energy_ev_per_atom": -10.3476, "crystal_system": "cubic", "de_polymorph_kj_per_mol_atoms": 0.0, "dos_ef_per_ev_fu": 2.3, "formation_energy_uncorrected_ev_per_atom": -1.013}



# 9
{"formula": "HfTaTcO2", "functional": "PBE-GGA", "state": "optimized geometry", "cell": [[3.878, 0.000, 0.000], [0.000, 5.482, 0.000], [0.000, 0.000, 3.878]], "species": ["O", "O", "Ta", "Hf", "Tc"], "frac_coords": [[0.500, 0.000, 0.000], [0.000, 0.000, 0.500], [0.000, 0.000, 0.000], [0.500, 0.500, 0.500], [0.000, 0.500, 0.000]], "total_energy_ev_per_atom": -9.3789, "crystal_system": "tetragonal", "dos_ef_per_ev_fu": 1.7, "formation_energy_uncorrected_ev_per_atom": -0.961}



# 10
{"formula": "HfTa3Tl2O12", "functional": "PBE-GGA", "state": "optimized geometry", "cell": [[7.595, 0.051, 0.036], [3.795, 6.579, 0.036], [3.795, 2.209, 6.198]], "species": ["O", "O", "O", "O", "O", "O", "O", "O", "O", "O", "O", "O", "Tl", "Tl", "Ta", "Ta", "Ta", "Hf"], "frac_coords": [[0.932, 0.932, 0.325], [0.325, 0.932, 0.932], [0.308, 0.308, 0.940], [0.692, 0.692, 0.060], [0.675, 0.068, 0.068], [0.940, 0.308, 0.308], [0.932, 0.325, 0.932], [0.692, 0.060, 0.692], [0.308, 0.940, 0.308], [0.068, 0.068, 0.675], [0.068, 0.675, 0.068], [0.060, 0.692, 0.692], [0.338, 0.338, 0.338], [0.662, 0.662, 0.662], [0.000, 0.500, 0.000], [0.000, 0.000, 0.500], [0.500, 0.000, 0.000], [0.000, 0.000, 0.000]], "total_energy_ev_per_atom": -8.3238, "crystal_system": "trigonal", "dos_ef_per_ev_fu": 12.7, "formation_energy_uncorrected_ev_per_atom": -2.227}



# 11
{"formula": "HfTaTlO6", "functional": "PBE-GGA", "state": "optimized geometry", "cell": [[-1.228, -3.009, -3.720], [3.867, 1.638, -2.601], [5.572, -7.038, 3.852]], "species": ["Tl", "Tl", "O", "O", "O", "O", "O", "O", "O", "O", "O", "O", "O", "O", "Ta", "Ta", "Hf", "Hf"], "frac_coords": [[0.000, 0.000, 0.999], [0.500, 0.500, 0.499], [0.820, 0.180, 0.495], [0.713, 0.713, 0.319], [0.680, 0.680, 0.995], [0.213, 0.787, 0.819], [0.202, 0.798, 0.187], [0.287, 0.287, 0.319], [0.298, 0.298, 0.687], [0.180, 0.820, 0.495], [0.787, 0.213, 0.819], [0.798, 0.202, 0.187], [0.320, 0.320, 0.995], [0.702, 0.702, 0.687], [0.000, 0.000, 0.332], [0.500, 0.500, 0.832], [0.500, 0.500, 0.168], [0.000, 0.000, 0.668]], "total_energy_ev_per_atom": -8.4312, "crystal_system": "tetragonal", "dos_ef_per_ev_fu": 0.0, "formation_energy_uncorrected_ev_per_atom": -2.440}